Computed, not measured: a relaxed structure of K2DyNiF6 at the PBE+U level of DFT.

Computed properties:
Volume, Å³/atom: 17.53
Space group: Pmmn, No. 59
Raw total energy, eV for the cell shown: -100.07
Total magnetic moment, μB/cell: 2.000

Lattice parameters (Å, degrees): 5.9632 6.0012 9.7954 90.00 90.00 90.00
Each line ends with the local moment (μB).
Element x y z (fractional)
Dy: 0.0000 0.7449 0.5000  0.01
F: 0.7563 0.9993 0.0000  0.01
F: 0.7460 0.4871 0.5000  0.01
F: 0.7437 0.0007 0.5000  0.01
F: 0.2563 0.0007 0.5000  0.01
K: 0.0000 0.2475 0.7461  0.00
F: 0.0000 0.7481 0.7215  0.00
F: 0.0000 0.7481 0.2785  0.00
F: 0.2460 0.5129 0.0000  0.01
K: 0.0000 0.2475 0.2539  0.00
K: 0.5000 0.7525 0.7539  0.00
F: 0.5000 0.2519 0.2215  0.00
F: 0.2437 0.9993 0.0000  0.01
F: 0.2540 0.4871 0.5000  0.01
Ni: 0.0000 0.7552 0.0000  1.00
Dy: 0.5000 0.2551 0.0000  0.01
Ni: 0.5000 0.2448 0.5000  1.00
F: 0.5000 0.2519 0.7785  0.00
K: 0.5000 0.7525 0.2461  0.00
F: 0.7540 0.5129 0.0000  0.01